1.
Here is HgSbSe2 after structural relaxation from the Alexandria database. Energies are from PBE.

## Properties
- excess energy over the best structure of this formula in the dataset (meV/atom) = 93
- energy relative to the elements, uncorrected (eV per atom) = -0.058
- final energy (eV/atom) = -2.9062

Cell lengths 9.285, 8.503, 6.426 Å; angles 90.00, 90.00, 90.00 degrees
Atoms (fractional coordinates):
Hg  0.079  0.155  0.000
Hg  0.421  0.655  0.500
Hg  0.579  0.345  0.000
Hg  0.921  0.845  0.500
Sb  0.131  0.615  0.995
Sb  0.369  0.115  0.495
Sb  0.631  0.885  0.995
Sb  0.869  0.385  0.495
Se  0.048  0.154  0.554
Se  0.135  0.621  0.585
Se  0.365  0.121  0.085
Se  0.452  0.654  0.054
Se  0.548  0.346  0.554
Se  0.635  0.879  0.585
Se  0.865  0.379  0.085
Se  0.952  0.846  0.054



2.
Here is ZrBeOs2 after structural relaxation from the Alexandria database. Energies are from PBE.

## Properties
- final energy (eV/atom) = -8.7185
- ΔE_f (eV per atom) = -0.035

Cell lengths 2.900, 4.190, 5.113 Å; angles 90.00, 104.44, 90.00 degrees
Atoms (fractional coordinates):
Zr  0.000  0.000  0.000
Be  0.578  0.500  0.236
Os  0.234  0.500  0.665
Os  0.596  0.000  0.476



3.
Here is NaAlTeOs2 after structural relaxation from the Alexandria database. Energies are from PBE.

## Properties
- energy relative to the elements, uncorrected (eV per atom) = 1.363
- final energy (eV/atom) = -4.7698

Cell lengths 4.622, 4.622, 5.306 Å; angles 90.00, 90.00, 90.00 degrees
Atoms (fractional coordinates):
Na  0.000  0.000  0.000
Al  0.500  0.500  0.500
Te  0.500  0.500  0.000
Os  0.000  0.500  0.500
Os  0.500  0.000  0.500



4.
Here is Pr10SmTm6 after structural relaxation from the Alexandria database. Energies are from PBE.

## Properties
- final energy (eV/atom) = -4.5369
- ΔE_f (eV per atom) = 0.130

Cell lengths 9.880, 9.880, 6.936 Å; angles 90.00, 90.00, 120.00 degrees
Atoms (fractional coordinates):
Pr  0.000  0.278  0.321
Pr  0.000  0.722  0.679
Pr  0.278  0.000  0.321
Pr  0.278  0.278  0.679
Pr  0.333  0.667  0.000
Pr  0.333  0.667  0.500
Pr  0.667  0.333  0.000
Pr  0.667  0.333  0.500
Pr  0.722  0.000  0.679
Pr  0.722  0.722  0.321
Sm  0.000  0.000  0.000
Tm  0.000  0.366  0.818
Tm  0.000  0.634  0.182
Tm  0.366  0.000  0.818
Tm  0.366  0.366  0.182
Tm  0.634  0.000  0.182
Tm  0.634  0.634  0.818



5.
Here is Ho2GaNi6 after structural relaxation from the Alexandria database. Energies are from PBE.

## Properties
- excess energy over the best structure of this formula in the dataset (meV/atom) = 0
- final energy (eV/atom) = -5.6476
- ΔE_f (eV per atom) = -0.440

Cell lengths 5.197, 5.197, 5.767 Å; angles 101.70, 101.70, 60.78 degrees
Atoms (fractional coordinates):
Ho  0.144  0.144  0.338
Ho  0.856  0.856  0.662
Ga  0.500  0.500  0.500
Ni  0.099  0.628  0.167
Ni  0.372  0.901  0.833
Ni  0.381  0.381  0.829
Ni  0.619  0.619  0.171
Ni  0.628  0.099  0.167
Ni  0.901  0.372  0.833



6.
Here is SrHo2Tl9 after structural relaxation from the Alexandria database. Energies are from PBE.

## Properties
- final energy (eV/atom) = -2.9083
- ΔE_f (eV per atom) = -0.231

Cell lengths 4.838, 4.838, 14.472 Å; angles 90.00, 90.00, 90.00 degrees
Atoms (fractional coordinates):
Sr  0.000  0.000  0.000
Ho  0.000  0.000  0.343
Ho  0.000  0.000  0.657
Tl  0.000  0.500  0.176
Tl  0.000  0.500  0.500
Tl  0.000  0.500  0.824
Tl  0.500  0.000  0.176
Tl  0.500  0.000  0.500
Tl  0.500  0.000  0.824
Tl  0.500  0.500  0.000
Tl  0.500  0.500  0.335
Tl  0.500  0.500  0.665



7.
Here is AgGeN3 after structural relaxation from the Alexandria database. Energies are from PBE.

## Properties
- energy relative to the elements, uncorrected (eV per atom) = 1.639
- final energy (eV/atom) = -4.8502

Cell lengths 3.856, 3.856, 3.856 Å; angles 90.00, 90.00, 90.00 degrees
Atoms (fractional coordinates):
Ag  0.000  0.000  0.000
Ge  0.500  0.500  0.500
N  0.000  0.500  0.500
N  0.500  0.000  0.500
N  0.500  0.500  0.000



8.
Here is SiSnI2 after structural relaxation from the Alexandria database. Energies are from PBE.

## Properties
- excess energy over the best structure of this formula in the dataset (meV/atom) = 0
- energy relative to the elements, uncorrected (eV per atom) = 0.379
- final energy (eV/atom) = -2.7523

Cell lengths 7.023, 7.023, 7.023 Å; angles 105.23, 105.23, 118.34 degrees
Atoms (fractional coordinates):
Si  0.000  0.000  0.000
Si  0.750  0.250  0.500
Sn  0.250  0.750  0.500
Sn  0.500  0.500  0.000
I  0.097  0.625  0.972
I  0.375  0.347  0.472
I  0.653  0.125  0.028
I  0.875  0.903  0.528



9.
Here is Np4Sn8Ru after structural relaxation from the Alexandria database. Energies are from PBE.

## Properties
- final energy (eV/atom) = -7.1711
- ΔE_f (eV per atom) = -0.013

Cell lengths 4.404, 4.546, 16.391 Å; angles 90.00, 90.00, 90.00 degrees
Atoms (fractional coordinates):
Np  0.000  0.000  0.000
Np  0.000  0.500  0.474
Np  0.500  0.000  0.781
Np  0.500  0.500  0.303
Sn  0.000  0.000  0.320
Sn  0.000  0.000  0.615
Sn  0.000  0.500  0.149
Sn  0.000  0.500  0.856
Sn  0.500  0.000  0.153
Sn  0.500  0.000  0.453
Sn  0.500  0.500  0.612
Sn  0.500  0.500  0.978
Ru  0.000  0.500  0.698



10.
Here is Ce2TiSb4 after structural relaxation from the Alexandria database. Energies are from PBE.

## Properties
- energy relative to the elements, uncorrected (eV per atom) = -0.628
- final energy (eV/atom) = -5.8067

Cell lengths 4.358, 4.358, 10.607 Å; angles 90.00, 90.00, 90.00 degrees
Atoms (fractional coordinates):
Ce  0.000  0.500  0.235
Ce  0.500  0.000  0.765
Ti  0.000  0.000  0.500
Sb  0.000  0.000  0.000
Sb  0.000  0.500  0.659
Sb  0.500  0.000  0.341
Sb  0.500  0.500  0.000



11.
Here is Tb6Sm2Tl after structural relaxation from the Alexandria database. Energies are from PBE.

## Properties
- excess energy over the best structure of this formula in the dataset (meV/atom) = 18
- final energy (eV/atom) = -4.3799
- ΔE_f (eV per atom) = 0.019

Cell lengths 7.750, 7.750, 10.646 Å; angles 107.72, 107.72, 96.89 degrees
Atoms (fractional coordinates):
Tb  0.120  0.868  0.579
Tb  0.132  0.880  0.921
Tb  0.196  0.475  0.095
Tb  0.242  0.449  0.425
Tb  0.449  0.242  0.925
Tb  0.475  0.196  0.595
Tb  0.525  0.804  0.405
Tb  0.551  0.758  0.075
Tb  0.758  0.551  0.575
Tb  0.804  0.525  0.905
Tb  0.868  0.120  0.079
Tb  0.880  0.132  0.421
Sm  0.181  0.465  0.740
Sm  0.465  0.181  0.240
Sm  0.535  0.819  0.760
Sm  0.819  0.535  0.260
Tl  0.117  0.883  0.250
Tl  0.883  0.117  0.750



12.
Here is LiErCd2Au4 after structural relaxation from the Alexandria database. Energies are from PBE.

## Properties
- final energy (eV/atom) = -3.1872
- ΔE_f (eV per atom) = -0.510

Cell lengths 8.335, 8.335, 8.335 Å; angles 33.43, 33.43, 33.43 degrees
Atoms (fractional coordinates):
Li  0.000  0.000  0.000
Er  0.500  0.500  0.500
Cd  0.252  0.252  0.252
Cd  0.748  0.748  0.748
Au  0.119  0.119  0.119
Au  0.373  0.373  0.373
Au  0.627  0.627  0.627
Au  0.881  0.881  0.881



Question: Which of these has the lowest final energy?
Answer: ZrBeOs2